RbInBrF2, optimized geometry, DFT GGA-PBE; symmetry = P4/mmm, No. 123; electronic total energy = -18.73 eV for the cell shown; uncorrected formation energy = -1922 meV per atom; volume = 127 Å³/cell; M_tot = 0.00 μB per cell
1.0
4.692 0.000 0.000
0.000 4.692 0.000
0.000 0.000 5.747
Br In Rb F
1 1 1 2
direct
0.000 0.000 0.500
0.000 0.000 0.000
0.500 0.500 0.500
0.500 0.000 0.000
0.000 0.500 0.000

MnPdSeBr2, optimized geometry, DFT GGA-PBE; symmetry = P4/mmm, No. 123; electronic total energy = -20.14 eV for the cell shown; uncorrected formation energy = 211 meV per atom; volume = 126 Å³/cell; M_tot = 3.00 μB per cell
1.0
-2.698 -4.243 0.301
2.188 -1.690 -4.211
3.587 -2.089 2.703
Mn Br Se Pd
1 2 1 1
direct
0.000 0.000 0.000
0.500 0.000 0.000
0.000 0.500 0.000
0.000 0.000 0.500
0.500 0.500 0.500

Q: Among the records above, which one has the lowest volume?
A: MnPdSeBr2

Please write out number 1 again, unchanged.
RbInBrF2, optimized geometry, DFT GGA-PBE; symmetry = P4/mmm, No. 123; electronic total energy = -18.73 eV for the cell shown; uncorrected formation energy = -1922 meV per atom; volume = 127 Å³/cell; M_tot = 0.00 μB per cell
1.0
4.692 0.000 0.000
0.000 4.692 0.000
0.000 0.000 5.747
Br In Rb F
1 1 1 2
direct
0.000 0.000 0.500
0.000 0.000 0.000
0.500 0.500 0.500
0.500 0.000 0.000
0.000 0.500 0.000

Repeat the first record exactly.
RbInBrF2, optimized geometry, DFT GGA-PBE; symmetry = P4/mmm, No. 123; electronic total energy = -18.73 eV for the cell shown; uncorrected formation energy = -1922 meV per atom; volume = 127 Å³/cell; M_tot = 0.00 μB per cell
1.0
4.692 0.000 0.000
0.000 4.692 0.000
0.000 0.000 5.747
Br In Rb F
1 1 1 2
direct
0.000 0.000 0.500
0.000 0.000 0.000
0.500 0.500 0.500
0.500 0.000 0.000
0.000 0.500 0.000